Here is a relaxed LaPr5In4 crystal from Alexandria via LeMat-Bulk. Energies are from PBE-GGA.

Unit cell a=3.6698 b=3.6698 c=22.9843 alpha=90.00 beta=90.00 gamma=90.00
With the nearest neighbours (Å) after each atom.
Fractional coordinates of all 10 atoms:
Pr: 0.5000 0.5000 0.3085  8 In 3.40-3.42, 4 Pr 3.67
Pr: 0.5000 0.5000 0.5000  8 In 3.41, 4 Pr 3.67
Pr: 0.5000 0.5000 0.1179  4 In 3.37, 4 Pr 3.67, 4 La 3.75
Pr: 0.5000 0.5000 0.6915  8 In 3.40-3.42, 4 Pr 3.67
Pr: 0.5000 0.5000 0.8821  4 In 3.37, 4 Pr 3.67, 4 La 3.75
La: 0.0000 0.0000 0.0000  4 La 3.67, 8 Pr 3.75
In: 0.0000 0.0000 0.5960  8 Pr 3.40-3.41, 4 In 3.67
In: 0.0000 0.0000 0.4040  8 Pr 3.40-3.41, 4 In 3.67
In: 0.0000 0.0000 0.7883  8 Pr 3.37-3.42, 4 In 3.67
In: 0.0000 0.0000 0.2117  8 Pr 3.37-3.42, 4 In 3.67

* crystal system: tetragonal
* energy of formation: -0.3874 eV/atom
* total moment: 0.00 μB/cell
* ΔE to the lowest computed polymorph: 0.000 eV per atom
* mass density: 6.99 g/cm³

***

Here is a relaxed CoWBr2 crystal from Alexandria via LeMat-Bulk. Energies are from PBE-GGA.

Unit cell a=8.9189 b=8.9189 c=8.9189 alpha=22.16 beta=22.16 gamma=22.16
With the nearest neighbours (Å) after each atom.
Fractional coordinates of all 4 atoms:
Co: 0.4865 0.4865 0.4865  3 W 2.38, 3 Br 2.57
Br: 0.0287 0.0287 0.0287  3 W 2.76
Br: 0.2158 0.2158 0.2158  3 Co 2.57
W: 0.7691 0.7691 0.7691  3 Co 2.38

* E_form (uncorrected): 0.22 eV/atom
* crystal system: trigonal
* total moment: 1.03 μB/cell
* ΔE to the lowest computed polymorph: 0.042 eV per atom
* mass density: 7.55 g/cm³

***

Here is a relaxed YW crystal from Alexandria via LeMat-Bulk. Energies are from PBE-GGA.

Unit cell a=2.9518 b=2.9518 c=4.9796 alpha=90.00 beta=90.00 gamma=106.18
With the nearest neighbours (Å) after each atom.
Fractional coordinates of all 2 atoms:
W: 0.0000 0.0000 0.0000  4 W 2.95, 4 Y 3.06
Y: 0.5000 0.5000 0.5000  4 Y 2.95, 4 W 3.06

* crystal system: orthorhombic
* energy of formation: 0.7272 eV/atom
* total moment: 0.00 μB/cell
* ΔE to the lowest computed polymorph: 0.479 eV per atom
* mass density: 10.87 g/cm³

***

Here is a relaxed HfZr2Sc8 crystal from Alexandria via LeMat-Bulk. Energies are from PBE-GGA.

Unit cell a=5.3261 b=8.1934 c=8.3590 alpha=60.65 beta=74.07 gamma=55.94
With the nearest neighbours (Å) after each atom.
Fractional coordinates of all 11 atoms:
Sc: 0.5000 0.2068 0.5864  1 Hf 3.01, 2 Zr 3.05, 6 Sc 3.21-3.35
Sc: 0.7066 0.5767 0.0000  3 Sc 2.64-2.92
Sc: 0.8250 0.0975 0.2379  5 Sc 2.92-3.25, 2 Zr 3.13
Sc: 0.5000 0.7932 0.4136  1 Hf 3.01, 2 Zr 3.05, 6 Sc 3.21-3.35
Sc: 0.8250 0.3354 0.7621  5 Sc 2.92-3.25, 2 Zr 3.13
Sc: 0.2934 0.4233 0.0000  3 Sc 2.64-2.92
Sc: 0.1750 0.9025 0.7621  5 Sc 2.92-3.25, 2 Zr 3.13
Sc: 0.1750 0.6646 0.2379  5 Sc 2.92-3.25, 2 Zr 3.13
Hf: 0.5000 0.0000 0.0000  4 Sc 2.99-3.01
Zr: 0.0000 0.6917 0.6166  8 Sc 3.05-3.13
Zr: 0.0000 0.3083 0.3834  8 Sc 3.05-3.13

* crystal system: monoclinic
* energy of formation: 0.2052 eV/atom
* total moment: 0.80 μB/cell
* ΔE to the lowest computed polymorph: 0.177 eV per atom
* mass density: 4.54 g/cm³

***

Here is a relaxed MnBr2Cl crystal from Alexandria via LeMat-Bulk. Energies are from PBE-GGA.

Unit cell a=5.0899 b=5.9701 c=4.5172 alpha=78.78 beta=64.47 gamma=105.26
With the nearest neighbours (Å) after each atom.
Fractional coordinates of all 4 atoms:
Cl: 0.0000 0.5000 0.5000  2 Mn 2.57
Br: 0.5000 0.0000 0.5000  2 Br 2.57
Br: 0.0000 0.0000 0.0000  2 Br 2.57
Mn: 0.5000 0.5000 0.0000  2 Cl 2.57

* E_form (uncorrected): -0.04 eV/atom
* crystal system: monoclinic
* total moment: 4.87 μB/cell
* ΔE to the lowest computed polymorph: 0.681 eV per atom
* mass density: 3.72 g/cm³

***

Here is a relaxed Bi6PtRh2 crystal from Alexandria via LeMat-Bulk. Energies are from PBE-GGA.

Unit cell a=6.8693 b=6.9083 c=10.2643 alpha=90.00 beta=106.32 gamma=90.00
With the nearest neighbours (Å) after each atom.
Fractional coordinates of all 18 atoms:
Bi: 0.6884 0.1856 0.5826  3 Rh 2.78-2.97, 1 Pt 2.82
Bi: 0.8072 0.9525 0.2238  2 Rh 2.77-2.86, 1 Pt 2.79
Bi: 0.3116 0.8144 0.4174  3 Rh 2.78-2.97, 1 Pt 2.82
Bi: 0.2999 0.8152 0.0894  1 Pt 2.86, 2 Rh 2.90-2.91
Bi: 0.6928 0.4525 0.2762  2 Rh 2.77-2.86, 1 Pt 2.79
Bi: 0.8116 0.6856 0.9174  3 Rh 2.78-2.97, 1 Pt 2.82
Bi: 0.3072 0.5475 0.7238  2 Rh 2.77-2.86, 1 Pt 2.79
Bi: 0.7999 0.6848 0.5894  1 Pt 2.86, 2 Rh 2.90-2.91
Bi: 0.1884 0.3144 0.0826  3 Rh 2.78-2.97, 1 Pt 2.82
Bi: 0.2001 0.3152 0.4106  1 Pt 2.86, 2 Rh 2.90-2.91
Bi: 0.7001 0.1848 0.9106  1 Pt 2.86, 2 Rh 2.90-2.91
Bi: 0.1928 0.0475 0.7762  2 Rh 2.77-2.86, 1 Pt 2.79
Rh: 0.9766 0.3963 0.7929  7 Bi 2.77-2.97
Rh: 0.4766 0.1037 0.2929  7 Bi 2.77-2.97
Rh: 0.0234 0.6037 0.2071  7 Bi 2.77-2.97
Rh: 0.5234 0.8963 0.7071  7 Bi 2.77-2.97
Pt: 0.0000 0.0000 0.5000  6 Bi 2.79-2.86
Pt: 0.5000 0.5000 0.0000  6 Bi 2.79-2.86

* crystal system: monoclinic
* energy of formation: -0.0991 eV/atom
* total moment: 0.00 μB/cell
* ΔE to the lowest computed polymorph: 0.043 eV per atom
* mass density: 11.76 g/cm³

***

Here is a relaxed SrRe2As crystal from Alexandria via LeMat-Bulk. Energies are from PBE-GGA.

Unit cell a=5.8948 b=5.8948 c=2.6846 alpha=90.00 beta=90.00 gamma=124.32
With the nearest neighbours (Å) after each atom.
Fractional coordinates of all 4 atoms:
As: 0.0000 0.5000 0.5000  2 As 2.68, 2 Sr 2.75
Re: 0.5000 0.5000 0.0000  4 Re 2.68-2.75
Re: 0.0000 0.0000 0.0000  4 Re 2.68-2.75
Sr: 0.5000 0.0000 0.5000  2 Sr 2.68, 2 As 2.75

* crystal system: orthorhombic
* energy of formation: 1.1120 eV/atom
* total moment: 0.00 μB/cell
* mass density: 11.53 g/cm³

***

Here is a relaxed La2MoP2 crystal from Alexandria via LeMat-Bulk. Energies are from PBE-GGA.

Unit cell a=8.0566 b=8.0566 c=3.7700 alpha=90.00 beta=90.00 gamma=90.00
With the nearest neighbours (Å) after each atom.
Fractional coordinates of all 10 atoms:
Mo: 0.0000 0.0000 0.0000  4 La 3.10
Mo: 0.5000 0.5000 0.0000  4 La 3.10
La: 0.3571 0.8571 0.0000  6 P 2.87-3.14, 2 Mo 3.10
La: 0.8571 0.6429 0.0000  6 P 2.87-3.14, 2 Mo 3.10
La: 0.1429 0.3571 0.0000  6 P 2.87-3.14, 2 Mo 3.10
La: 0.6429 0.1429 0.0000  6 P 2.87-3.14, 2 Mo 3.10
P: 0.3327 0.1673 0.5000  6 La 2.87-3.14
P: 0.1673 0.6673 0.5000  6 La 2.87-3.14
P: 0.8327 0.3327 0.5000  6 La 2.87-3.14
P: 0.6673 0.8327 0.5000  6 La 2.87-3.14

* crystal system: tetragonal
* energy of formation: -0.0506 eV/atom
* total moment: 6.82 μB/cell
* ΔE to the lowest computed polymorph: 0.741 eV per atom
* mass density: 5.91 g/cm³

***

Here is a relaxed KMg3 crystal from Alexandria via LeMat-Bulk. Energies are from PBE-GGA.

Unit cell a=6.2974 b=6.2974 c=6.2974 alpha=90.00 beta=90.00 gamma=90.00
With the nearest neighbours (Å) after each atom.
Fractional coordinates of all 8 atoms:
K: 0.5000 0.5000 0.5000  12 Mg 3.52
K: 0.0000 0.0000 0.0000  12 Mg 3.52
Mg: 0.0000 0.2500 0.5000  2 Mg 3.15, 4 K 3.52
Mg: 0.2500 0.5000 0.0000  2 Mg 3.15, 4 K 3.52
Mg: 0.0000 0.7500 0.5000  2 Mg 3.15, 4 K 3.52
Mg: 0.5000 0.0000 0.2500  2 Mg 3.15, 4 K 3.52
Mg: 0.7500 0.5000 0.0000  2 Mg 3.15, 4 K 3.52
Mg: 0.5000 0.0000 0.7500  2 Mg 3.15, 4 K 3.52

* crystal system: cubic
* energy of formation: 0.2953 eV/atom
* total moment: 0.00 μB/cell
* mass density: 1.49 g/cm³

***

Here is a relaxed PmSnTe crystal from Alexandria via LeMat-Bulk. Energies are from PBE-GGA.

Unit cell a=4.2940 b=4.2940 c=10.1762 alpha=102.18 beta=102.18 gamma=90.00
With the nearest neighbours (Å) after each atom.
Fractional coordinates of all 6 atoms:
Pm: 0.3592 0.3592 0.7184  5 Te 3.18-3.31, 4 Sn 3.48
Pm: 0.6408 0.6408 0.2816  5 Te 3.18-3.31, 4 Sn 3.48
Te: 0.1888 0.1888 0.3775  5 Pm 3.18-3.31
Te: 0.8112 0.8112 0.6225  5 Pm 3.18-3.31
Sn: 0.5000 0.0000 0.0000  4 Sn 3.04
Sn: 0.0000 0.5000 0.0000  4 Sn 3.04

* E_form (uncorrected): -1.00 eV/atom
* crystal system: tetragonal
* total moment: 0.00 μB/cell
* ΔE to the lowest computed polymorph: 0.000 eV per atom
* mass density: 7.26 g/cm³

***

Here is a relaxed BaCr2Br crystal from Alexandria via LeMat-Bulk. Energies are from PBE-GGA.

Unit cell a=6.9570 b=6.9570 c=5.1433 alpha=68.27 beta=68.27 gamma=31.61
With the nearest neighbours (Å) after each atom.
Fractional coordinates of all 4 atoms:
Cr: 0.5081 0.5081 0.4919  4 Cr 3.20, 2 Br 3.54
Cr: 0.9919 0.9919 0.0081  4 Cr 3.20, 2 Br 3.54
Br: 0.2500 0.2500 0.2500  4 Ba 3.19, 4 Cr 3.54
Ba: 0.7500 0.7500 0.7500  4 Br 3.19

* E_form (uncorrected): 0.39 eV/atom
* crystal system: orthorhombic
* total moment: 9.57 μB/cell
* ΔE to the lowest computed polymorph: 0.287 eV per atom
* mass density: 4.43 g/cm³

***

Here is a relaxed Ti3CdN crystal from Alexandria via LeMat-Bulk. Energies are from PBE-GGA.

Unit cell a=23.0064 b=5.4710 c=8.8320 alpha=90.00 beta=163.75 gamma=90.00
With the nearest neighbours (Å) after each atom.
Fractional coordinates of all 20 atoms:
Ti: 0.0660 0.3643 0.8795  1 N 2.03
Ti: 0.3015 0.9142 0.9480  3 N 2.13-2.16
Ti: 0.8573 0.0595 0.7479  2 N 2.05
Ti: 0.9340 0.6357 0.1205  1 N 2.03
Ti: 0.4340 0.8643 0.6205  1 N 2.03
Ti: 0.5660 0.1357 0.3795  1 N 2.03
Ti: 0.6985 0.0858 0.0520  3 N 2.13-2.16
Ti: 0.1427 0.9405 0.2521  2 N 2.05
Ti: 0.6427 0.5595 0.7521  2 N 2.05
Ti: 0.1985 0.4142 0.5520  3 N 2.13-2.16
Ti: 0.8015 0.5858 0.4480  3 N 2.13-2.16
Ti: 0.3573 0.4405 0.2479  2 N 2.05
N: 0.9622 0.2475 0.8245  6 Ti 2.03-2.16
N: 0.0378 0.7525 0.1755  6 Ti 2.03-2.16
N: 0.4622 0.2525 0.3245  6 Ti 2.03-2.16
N: 0.5378 0.7475 0.6755  6 Ti 2.03-2.16
Cd: 0.4978 0.6721 0.0998  1 Cd 2.65, 4 Ti 2.74-2.88
Cd: 0.5022 0.3279 0.9002  1 Cd 2.65, 4 Ti 2.74-2.88
Cd: 0.0022 0.1721 0.4002  1 Cd 2.65, 4 Ti 2.74-2.88
Cd: 0.9978 0.8279 0.5998  1 Cd 2.65, 4 Ti 2.74-2.88

* E_form (uncorrected): -0.63 eV/atom
* crystal system: monoclinic
* total moment: 0.00 μB/cell
* mass density: 5.76 g/cm³

***

Question: What is the total moment in the second record?
Answer: 1.03 μB/cell

***

Question: The highest mass density belongs to which entry?
Answer: Bi6PtRh2

***

Copy entry 2 word for word.
Here is a relaxed CoWBr2 crystal from Alexandria via LeMat-Bulk. Energies are from PBE-GGA.

Unit cell a=8.9189 b=8.9189 c=8.9189 alpha=22.16 beta=22.16 gamma=22.16
With the nearest neighbours (Å) after each atom.
Fractional coordinates of all 4 atoms:
Co: 0.4865 0.4865 0.4865  3 W 2.38, 3 Br 2.57
Br: 0.0287 0.0287 0.0287  3 W 2.76
Br: 0.2158 0.2158 0.2158  3 Co 2.57
W: 0.7691 0.7691 0.7691  3 Co 2.38

* E_form (uncorrected): 0.22 eV/atom
* crystal system: trigonal
* total moment: 1.03 μB/cell
* ΔE to the lowest computed polymorph: 0.042 eV per atom
* mass density: 7.55 g/cm³